(1)
The following is a PBE-GGA calculation of a relaxed structure of CdCu9, from the Open Quantum Materials Database.

a b c (Å): 2.5846 2.5846 41.9151
angles (deg): 90.00 90.00 90.00
Atoms (fractional coordinates):
Cu: 0.0000 0.5000 0.6057
Cu: 0.5000 0.0000 0.7329
Cu: 0.5000 0.0000 0.4788
Cu: 0.0000 0.5000 0.6903
Cu: 0.5000 0.0000 0.6480
Cu: 0.5000 0.0000 0.8179
Cu: 0.5000 0.0000 0.1398
Cu: 0.0000 0.5000 0.7753
Cu: 0.5000 0.0000 0.3097
Cu: 0.5000 0.0000 0.2247
Cu: 0.0000 0.5000 0.1821
Cu: 0.5000 0.0000 0.3943
Cu: 0.0000 0.5000 0.2671
Cu: 0.5000 0.0000 0.5634
Cu: 0.0000 0.5000 0.3520
Cu: 0.0000 0.5000 0.8602
Cu: 0.0000 0.5000 0.4366
Cu: 0.0000 0.5000 0.5212
Cd: 0.5000 0.0000 0.9151
Cd: 0.0000 0.5000 0.0849

DFT formation energy   0.069 eV per atom
Volume   14.00 Å³/atom
E above lowest polymorph   7 meV per atom
SG   P4/nmm, No. 129


(2)
The following is a PBE-GGA calculation of a relaxed structure of CdCu124, from the Open Quantum Materials Database.

a b c (Å): 12.7663 12.7663 12.7663
angles (deg): 60.00 60.00 60.00
Atoms (fractional coordinates):
Cu: 0.5986 0.2006 0.0001
Cu: 0.6001 0.7998 0.6001
Cu: 0.2001 0.2001 0.2001
Cu: 0.8000 0.5999 0.4001
Cu: 0.4014 0.9999 0.7994
Cu: 0.0000 0.5986 0.0000
Cu: 0.7942 0.2058 0.0000
Cu: 0.0000 0.2058 0.7942
Cu: 0.6001 0.0000 0.7998
Cu: 0.4001 0.8000 0.2000
Cu: 0.5986 0.0000 0.4014
Cu: 0.0000 0.4014 0.5986
Cu: 0.0000 0.2058 0.0000
Cu: 0.6000 0.4000 0.4000
Cu: 0.0001 0.5986 0.2006
Cu: 0.4014 0.5986 0.0000
Cu: 0.7999 0.6003 0.7999
Cu: 0.7994 0.7994 0.9999
Cu: 0.4014 0.0000 0.0000
Cu: 0.2000 0.8000 0.4001
Cu: 0.8000 0.4000 0.4000
Cu: 0.0000 0.6001 0.7998
Cu: 0.5986 0.2006 0.2006
Cu: 0.0000 0.5986 0.4014
Cu: 0.4001 0.2000 0.8000
Cu: 0.4000 0.4000 0.4000
Cu: 0.2000 0.2000 0.8000
Cu: 0.5999 0.2000 0.4001
Cu: 0.2000 0.6000 0.6000
Cu: 0.6001 0.6001 0.0000
Cu: 0.5986 0.0001 0.2006
Cu: 0.0000 0.0000 0.2058
Cu: 0.2002 0.3999 0.3999
Cu: 0.0001 0.2006 0.5986
Cu: 0.5999 0.4001 0.8000
Cu: 0.7999 0.7999 0.7999
Cu: 0.2058 0.0000 0.0000
Cu: 0.9999 0.4014 0.7994
Cu: 0.3999 0.2002 0.0000
Cu: 0.4014 0.7994 0.9999
Cu: 0.0000 0.0000 0.5986
Cu: 0.2058 0.7942 0.0000
Cu: 0.5986 0.4014 0.0000
Cu: 0.2006 0.0001 0.5986
Cu: 0.6003 0.7999 0.7999
Cu: 0.8000 0.4001 0.2000
Cu: 0.2001 0.2001 0.3997
Cu: 0.5999 0.8000 0.2000
Cu: 0.2006 0.2006 0.5986
Cu: 0.4000 0.4000 0.6000
Cu: 0.6000 0.6000 0.4000
Cu: 0.2000 0.4001 0.5999
Cu: 0.6001 0.6001 0.7998
Cu: 0.7998 0.6001 0.0000
Cu: 0.0000 0.0000 0.7942
Cu: 0.4001 0.2000 0.5999
Cu: 0.2000 0.8000 0.5999
Cu: 0.0000 0.4014 0.0000
Cu: 0.7994 0.7994 0.4014
Cu: 0.2001 0.3997 0.2001
Cu: 0.2000 0.5999 0.4001
Cu: 0.9999 0.7994 0.7994
Cu: 0.8000 0.2000 0.8000
Cu: 0.4001 0.5999 0.8000
Cu: 0.4014 0.7994 0.7994
Cu: 0.7942 0.0000 0.0000
Cu: 0.6000 0.2000 0.6000
Cu: 0.4000 0.8000 0.4000
Cu: 0.8000 0.4001 0.5999
Cu: 0.2000 0.8000 0.2000
Cu: 0.8000 0.2000 0.5999
Cu: 0.2000 0.8000 0.8000
Cu: 0.5986 0.0000 0.0000
Cu: 0.2006 0.0001 0.2006
Cu: 0.6000 0.4000 0.6000
Cu: 0.2002 0.0000 0.3999
Cu: 0.6001 0.0000 0.6001
Cu: 0.6001 0.7998 0.0000
Cu: 0.0000 0.0000 0.4014
Cu: 0.7994 0.4014 0.9999
Cu: 0.7998 0.0000 0.6001
Cu: 0.3999 0.0000 0.3999
Cu: 0.7942 0.0000 0.2058
Cu: 0.0000 0.7998 0.6001
Cu: 0.0000 0.7942 0.2058
Cu: 0.4014 0.0000 0.5986
Cu: 0.7998 0.6001 0.6001
Cu: 0.4001 0.8000 0.5999
Cu: 0.3999 0.3999 0.2002
Cu: 0.3999 0.0000 0.2002
Cu: 0.0000 0.3999 0.3999
Cu: 0.7994 0.4014 0.7994
Cu: 0.5999 0.8000 0.4001
Cu: 0.0000 0.7942 0.0000
Cu: 0.6000 0.6000 0.6000
Cu: 0.9999 0.7994 0.4014
Cu: 0.0000 0.6001 0.6001
Cu: 0.8000 0.8000 0.2000
Cu: 0.2058 0.0000 0.7942
Cu: 0.3997 0.2001 0.2001
Cu: 0.0000 0.2002 0.3999
Cu: 0.5999 0.2000 0.8000
Cu: 0.3999 0.2002 0.3999
Cu: 0.5999 0.4001 0.2000
Cu: 0.4000 0.6000 0.4000
Cu: 0.8000 0.2000 0.2000
Cu: 0.2006 0.5986 0.2006
Cu: 0.0001 0.2006 0.2006
Cu: 0.7994 0.9999 0.7994
Cu: 0.4000 0.4000 0.8000
Cu: 0.2002 0.3999 0.0000
Cu: 0.8000 0.2000 0.4001
Cu: 0.2000 0.4001 0.8000
Cu: 0.2000 0.5999 0.8000
Cu: 0.2006 0.2006 0.0001
Cu: 0.7999 0.7999 0.6003
Cu: 0.4000 0.6000 0.6000
Cu: 0.0000 0.3999 0.2002
Cu: 0.6000 0.6000 0.2000
Cu: 0.4001 0.5999 0.2000
Cu: 0.8000 0.5999 0.2000
Cu: 0.3999 0.3999 0.0000
Cu: 0.7994 0.9999 0.4014
Cu: 0.2006 0.5986 0.0001
Cd: 0.0000 0.0000 0.0000

DFT formation energy   0.004 eV per atom
Volume   11.77 Å³/atom
SG   Fm-3m, No. 225


(3)
The following is a PBE-GGA calculation of a relaxed structure of CdCu15, from the Open Quantum Materials Database.

a b c (Å): 3.6098 3.6101 41.8443
angles (deg): 90.00 90.00 90.00
Atoms (fractional coordinates):
Cu: 0.2500 0.5000 0.4359
Cu: 0.7500 0.5000 0.3932
Cu: 0.2500 0.0000 0.7355
Cu: 0.2500 0.0000 0.5640
Cu: 0.2500 0.0000 0.6496
Cu: 0.2500 0.5000 0.6925
Cu: 0.2500 0.5000 0.7787
Cu: 0.2500 0.5000 0.3503
Cu: 0.7500 0.0000 0.3504
Cu: 0.2500 0.0000 0.3075
Cu: 0.2500 0.5000 0.2642
Cu: 0.7500 0.5000 0.5641
Cu: 0.7500 0.5000 0.4786
Cu: 0.2500 0.5000 0.1795
Cu: 0.7500 0.5000 0.2213
Cu: 0.7500 0.0000 0.6925
Cu: 0.2500 0.5000 0.5214
Cu: 0.7500 0.0000 0.2645
Cu: 0.2500 0.0000 0.2213
Cu: 0.7500 0.5000 0.6497
Cu: 0.7500 0.0000 0.6068
Cu: 0.7500 0.0000 0.5214
Cu: 0.7500 0.5000 0.8205
Cu: 0.7500 0.5000 0.3075
Cu: 0.7500 0.5000 0.7358
Cu: 0.2500 0.0000 0.4786
Cu: 0.7500 0.0000 0.4360
Cu: 0.2500 0.5000 0.6068
Cu: 0.2500 0.0000 0.3932
Cu: 0.7500 0.0000 0.7787
Cd: 0.2500 0.0000 0.8360
Cd: 0.7500 0.0000 0.1640

DFT formation energy   0.049 eV per atom
Volume   17.04 Å³/atom
E above lowest polymorph   0 meV per atom
SG   Pmma, No. 51


Copy entry 1 word for word.
The following is a PBE-GGA calculation of a relaxed structure of CdCu9, from the Open Quantum Materials Database.

a b c (Å): 2.5846 2.5846 41.9151
angles (deg): 90.00 90.00 90.00
Atoms (fractional coordinates):
Cu: 0.0000 0.5000 0.6057
Cu: 0.5000 0.0000 0.7329
Cu: 0.5000 0.0000 0.4788
Cu: 0.0000 0.5000 0.6903
Cu: 0.5000 0.0000 0.6480
Cu: 0.5000 0.0000 0.8179
Cu: 0.5000 0.0000 0.1398
Cu: 0.0000 0.5000 0.7753
Cu: 0.5000 0.0000 0.3097
Cu: 0.5000 0.0000 0.2247
Cu: 0.0000 0.5000 0.1821
Cu: 0.5000 0.0000 0.3943
Cu: 0.0000 0.5000 0.2671
Cu: 0.5000 0.0000 0.5634
Cu: 0.0000 0.5000 0.3520
Cu: 0.0000 0.5000 0.8602
Cu: 0.0000 0.5000 0.4366
Cu: 0.0000 0.5000 0.5212
Cd: 0.5000 0.0000 0.9151
Cd: 0.0000 0.5000 0.0849

DFT formation energy   0.069 eV per atom
Volume   14.00 Å³/atom
E above lowest polymorph   7 meV per atom
SG   P4/nmm, No. 129


Copy entry 1 word for word.
The following is a PBE-GGA calculation of a relaxed structure of CdCu9, from the Open Quantum Materials Database.

a b c (Å): 2.5846 2.5846 41.9151
angles (deg): 90.00 90.00 90.00
Atoms (fractional coordinates):
Cu: 0.0000 0.5000 0.6057
Cu: 0.5000 0.0000 0.7329
Cu: 0.5000 0.0000 0.4788
Cu: 0.0000 0.5000 0.6903
Cu: 0.5000 0.0000 0.6480
Cu: 0.5000 0.0000 0.8179
Cu: 0.5000 0.0000 0.1398
Cu: 0.0000 0.5000 0.7753
Cu: 0.5000 0.0000 0.3097
Cu: 0.5000 0.0000 0.2247
Cu: 0.0000 0.5000 0.1821
Cu: 0.5000 0.0000 0.3943
Cu: 0.0000 0.5000 0.2671
Cu: 0.5000 0.0000 0.5634
Cu: 0.0000 0.5000 0.3520
Cu: 0.0000 0.5000 0.8602
Cu: 0.0000 0.5000 0.4366
Cu: 0.0000 0.5000 0.5212
Cd: 0.5000 0.0000 0.9151
Cd: 0.0000 0.5000 0.0849

DFT formation energy   0.069 eV per atom
Volume   14.00 Å³/atom
E above lowest polymorph   7 meV per atom
SG   P4/nmm, No. 129


- The highest DFT formation energy belongs to which entry?
  CdCu9